(1)
DFT (PBE) results for a relaxed structure of IrPt2Pb.

Unit cell a=4.1967 b=4.1967 c=7.8710 alpha=90.00 beta=90.00 gamma=90.00
Last column: nearest neighbours and their distance in Å.
Space group I4/mmm (No. 139)
One atom of each set of equivalent atoms:
Ir 0.0000 0.0000 0.0000 x2  8 Pt 2.88, 4 Pb 2.97
Pt 0.0000 0.5000 0.2500 x4  4 Pb 2.88, 4 Ir 2.88, 4 Pt 2.97
Pb 0.0000 0.0000 0.5000 x2  8 Pt 2.88, 4 Ir 2.97

Properties
Raw total energy = -47.099 eV for the cell shown
ρ = 18.916 Mg/m³
Formation enthalpy at 0 K = 26.6 kJ/mol of atoms
Crystal system = tetragonal
Volume = 69.3 Å³/f.u.

***

(2)
DFT (PBE) results for a relaxed structure of IrPt2Pb.

Unit cell a=4.0614 b=4.0614 c=4.1658 alpha=90.00 beta=90.00 gamma=90.00
Last column: nearest neighbours and their distance in Å.
Space group P4/mmm (No. 123)
One atom of each set of equivalent atoms:
Ir 0.0000 0.0000 0.0000 x1  4 Pb 2.87, 8 Pt 2.91
Pt 0.0000 0.5000 0.5000 x2  4 Pt 2.87, 4 Pb 2.91, 4 Ir 2.91
Pb 0.5000 0.5000 0.0000 x1  4 Ir 2.87, 8 Pt 2.91

Properties
Raw total energy = -24.232 eV for the cell shown
ρ = 19.081 Mg/m³
Formation enthalpy at 0 K = 10.1 kJ/mol of atoms
Crystal system = tetragonal
Volume = 68.7 Å³/f.u.

***

(3)
DFT (PBE) results for a relaxed structure of IrPt2Pb.

Unit cell a=2.9237 b=4.8675 c=9.9003 alpha=90.00 beta=90.00 gamma=90.00
Last column: nearest neighbours and their distance in Å.
Space group Immm (No. 71)
One atom of each set of equivalent atoms:
Ir 0.0000 0.0000 0.0000 x2  4 Pt 2.78, 4 Pb 2.84, 2 Ir 2.92
Pt 0.0000 0.5000 0.2608 x4  2 Ir 2.78, 6 Pt 2.85-2.92, 2 Pb 2.97
Pb 0.0000 0.0000 0.5000 x2  4 Ir 2.84, 2 Pb 2.92, 4 Pt 2.97

Properties
Raw total energy = -47.077 eV for the cell shown
ρ = 18.612 Mg/m³
Formation enthalpy at 0 K = 26.8 kJ/mol of atoms
Crystal system = orthorhombic
Volume = 70.4 Å³/f.u.

***

(4)
DFT (PBE) results for a relaxed structure of IrPt2Pb.

Unit cell a=3.0179 b=3.0179 c=27.2952 alpha=90.00 beta=90.00 gamma=120.00
Last column: nearest neighbours and their distance in Å.
Space group R3m (No. 160, hexagonal axes)
One atom of each set of equivalent atoms:
Ir 0.0000 0.0000 0.0000 x3  3 Pt 2.69, 3 Pb 2.98
Pt 0.0000 0.0000 0.4877 x3  9 Pt 2.78-3.02, 3 Pb 3.02
Pt 0.0000 0.0000 0.7418 x3  3 Ir 2.69, 3 Pt 2.78
Pb 0.0000 0.0000 0.2447 x3  3 Ir 2.98, 6 Pb 3.02, 3 Pt 3.02

Properties
Raw total energy = -69.091 eV for the cell shown
ρ = 18.270 Mg/m³
Formation enthalpy at 0 K = 39.1 kJ/mol of atoms
Crystal system = trigonal
Volume = 71.8 Å³/f.u.

***

(5)
DFT (PBE) results for a relaxed structure of IrPt2Pb.

Unit cell a=5.2270 b=5.2270 c=14.6940 alpha=90.00 beta=90.00 gamma=90.00
Last column: nearest neighbours and their distance in Å.
Space group I-42d (No. 122)
One atom of each set of equivalent atoms:
Ir 0.0000 0.0000 0.0000 x4  4 Pt 2.44
Pt 0.1779 0.2500 0.1250 x8  2 Ir 2.44
Pb 0.0000 0.0000 0.5000 x4  4 Pt 2.81

Properties
Raw total energy = -89.516 eV for the cell shown
ρ = 13.064 Mg/m³
Formation enthalpy at 0 K = 54.8 kJ/mol of atoms
Crystal system = tetragonal
Volume = 100.4 Å³/f.u.

***

(6)
DFT (PBE) results for a relaxed structure of IrPt2Pb.

Unit cell a=4.2108 b=4.2108 c=7.7859 alpha=90.00 beta=90.00 gamma=90.00
Last column: nearest neighbours and their distance in Å.
Space group I-4m2 (No. 119)
One atom of each set of equivalent atoms:
Ir 0.0000 0.0000 0.0000 x2  4 Pb 2.87, 8 Pt 2.87-2.98
Pt 0.0000 0.0000 0.5000 x2  4 Pb 2.87, 4 Pt 2.87, 4 Ir 2.98
Pt 0.0000 0.5000 0.2500 x2  4 Ir 2.87, 4 Pt 2.87, 4 Pb 2.98
Pb 0.0000 0.5000 0.7500 x2  4 Ir 2.87, 8 Pt 2.87-2.98

Properties
Raw total energy = -47.528 eV for the cell shown
ρ = 18.995 Mg/m³
Formation enthalpy at 0 K = 21.4 kJ/mol of atoms
Crystal system = tetragonal
Volume = 69.0 Å³/f.u.

***

(7)
DFT (PBE) results for a relaxed structure of IrPtPb2.

Unit cell a=4.1162 b=4.1162 c=9.6833 alpha=90.00 beta=90.00 gamma=90.00
Last column: nearest neighbours and their distance in Å.
Space group I-4m2 (No. 119)
One atom of each set of equivalent atoms:
Ir 0.0000 0.0000 0.0000 x2  8 Pb 2.91-3.18, 4 Pt 3.18
Pt 0.0000 0.5000 0.2500 x2  8 Pb 2.91-3.18, 4 Ir 3.18
Pb 0.0000 0.0000 0.5000 x2  4 Ir 2.91, 4 Pb 3.18, 4 Pt 3.18
Pb 0.0000 0.5000 0.7500 x2  4 Pt 2.91, 4 Pb 3.18, 4 Ir 3.18

Properties
Raw total energy = -41.912 eV for the cell shown
ρ = 16.229 Mg/m³
Formation enthalpy at 0 K = 32.9 kJ/mol of atoms
Polymorph energy (0 for the lowest one) = 0.981 eV/f.u.
Crystal system = tetragonal
Volume = 82.0 Å³/f.u.

***

(8)
DFT (PBE) results for a relaxed structure of IrPt2Pb.

Unit cell a=8.7838 b=3.5490 c=4.7612 alpha=90.00 beta=105.07 gamma=90.00
Last column: nearest neighbours and their distance in Å.
Space group Cm (No. 8)
One atom of each set of equivalent atoms:
Ir 0.0000 0.0000 0.0000 x2  5 Pt 2.69-2.77, 3 Pb 2.83-2.90
Pt 0.2420 0.5000 0.2064 x2  3 Ir 2.69-2.75, 3 Pt 2.73-2.80, 4 Pb 2.94-3.00
Pt 0.4897 0.0000 0.4413 x2  3 Pt 2.73-2.80, 2 Ir 2.77, 3 Pb 2.79-2.89
Pb 0.2455 0.0000 0.7157 x2  7 Pt 2.79-3.00, 3 Ir 2.83-2.90

Properties
Raw total energy = -47.545 eV for the cell shown
ρ = 18.297 Mg/m³
Formation enthalpy at 0 K = 21.2 kJ/mol of atoms
Crystal system = monoclinic
Volume = 71.7 Å³/f.u.

***

(9)
DFT (PBE) results for a relaxed structure of IrPtPb2.

Unit cell a=3.8319 b=4.0770 c=5.7545 alpha=90.00 beta=109.10 gamma=90.00
Last column: nearest neighbours and their distance in Å.
Space group Pm (No. 6)
One atom of each set of equivalent atoms:
Ir 0.0000 0.0000 0.0000 x1  2 Pt 2.71, 5 Pb 2.89
Pt 0.8311 0.5000 0.6708 x1  2 Ir 2.71, 5 Pb 2.90-2.93
Pb 0.2631 0.0000 0.5316 x1  3 Ir 2.89-3.20, 4 Pt 2.90
Pb 0.5639 0.5000 0.1316 x1  4 Ir 2.89, 3 Pt 2.93-3.17

Properties
Raw total energy = -21.937 eV for the cell shown
ρ = 15.671 Mg/m³
Formation enthalpy at 0 K = 9.2 kJ/mol of atoms
Polymorph energy (0 for the lowest one) = 0.000 eV/f.u.
Crystal system = monoclinic
Volume = 85.0 Å³/f.u.

***

(10)
DFT (PBE) results for a relaxed structure of IrPt2Pb.

Unit cell a=2.9023 b=4.9363 c=9.8399 alpha=90.00 beta=90.00 gamma=90.00
Last column: nearest neighbours and their distance in Å.
Space group Imm2 (No. 44)
One atom of each set of equivalent atoms:
Ir 0.0000 0.0000 0.0000 x2  6 Pt 2.74-2.87, 2 Pb 2.86, 2 Ir 2.90
Pt 0.0000 0.0000 0.4881 x2  4 Ir 2.87, 4 Pt 2.87-2.90, 2 Pb 2.95
Pt 0.0000 0.5000 0.7368 x2  2 Ir 2.74, 4 Pb 2.87, 4 Pt 2.87-2.90
Pb 0.0000 0.5000 0.2497 x2  2 Ir 2.86, 6 Pt 2.87-2.95, 2 Pb 2.90

Properties
Raw total energy = -47.146 eV for the cell shown
ρ = 18.601 Mg/m³
Formation enthalpy at 0 K = 26.0 kJ/mol of atoms
Crystal system = orthorhombic
Volume = 70.5 Å³/f.u.

***

(11)
DFT (PBE) results for a relaxed structure of IrPtPb2.

Unit cell a=5.0819 b=5.0819 c=3.1664 alpha=90.00 beta=90.00 gamma=90.00
Last column: nearest neighbours and their distance in Å.
Space group P4/mmm (No. 123)
One atom of each set of equivalent atoms:
Ir 0.0000 0.0000 0.0000 x1  8 Pb 2.99, 2 Ir 3.17
Pt 0.5000 0.5000 0.0000 x1  8 Pb 2.99, 2 Pt 3.17
Pb 0.0000 0.5000 0.5000 x2  4 Ir 2.99, 4 Pt 2.99, 2 Pb 3.17

Properties
Raw total energy = -21.042 eV for the cell shown
ρ = 16.279 Mg/m³
Formation enthalpy at 0 K = 30.8 kJ/mol of atoms
Polymorph energy (0 for the lowest one) = 0.895 eV/f.u.
Crystal system = tetragonal
Volume = 81.8 Å³/f.u.

***

(12)
DFT (PBE) results for a relaxed structure of IrPtPb4.

Unit cell a=8.6077 b=8.6077 c=8.6077 alpha=90.00 beta=90.00 gamma=90.00
Last column: nearest neighbours and their distance in Å.
Space group F-43m (No. 216)
One atom of each set of equivalent atoms:
Ir 0.0000 0.0000 0.0000 x4  12 Pb 3.57, 4 Pt 3.73
Pt 0.2500 0.2500 0.2500 x4  12 Pb 3.57, 4 Ir 3.73
Pb 0.1252 0.1252 0.6252 x16  6 Pb 3.04-3.05

Properties
Raw total energy = -94.132 eV for the cell shown
ρ = 12.665 Mg/m³
Formation enthalpy at 0 K = 99.7 kJ/mol of atoms
Crystal system = cubic
Volume = 159.4 Å³/f.u.